(1)
Computed, not measured: K2MnCo at its PBEsol-relaxed geometry at the meta-GGA SCAN level of DFT.

For the offset from the most stable computed form, the calculation gives 0.6474 eV/atom. The formation energy is 1.21 eV per atom.

It has space group Fm-3m (No. 225), with a = 7.778 Å, b = 7.778 Å, c = 7.778 Å, α = 90.00°, β = 90.00° and γ = 90.00°. Symmetry generates all atoms from K at (0.250, 0.250, 0.250), Mn at (0.000, 0.000, 0.000) and Co at (0.000, 0.000, 0.500).


(2)
Computed, not measured: K2MnCo at its PBEsol-relaxed geometry at the meta-GGA SCAN level of DFT.

For the offset from the most stable computed form, the calculation gives 0.0000 eV/atom. The formation energy is 0.57 eV per atom.

It has space group P4mm (No. 99), with a = 3.272 Å, b = 3.272 Å, c = 9.976 Å, α = 90.00°, β = 90.00° and γ = 90.00°. Symmetry generates all atoms from K at (0.000, 0.000, 0.000), K at (0.500, 0.500, 0.420), Mn at (0.000, 0.000, 0.684) and Co at (0.500, 0.500, 0.744).


(3)
Computed, not measured: KMn2Co at its PBEsol-relaxed geometry at the meta-GGA SCAN level of DFT.

For the offset from the most stable computed form, the calculation gives 0.0000 eV/atom. The formation energy is 0.27 eV per atom.

It has space group P4/mmm (No. 123), with a = 2.940 Å, b = 2.940 Å, c = 8.488 Å, α = 90.00°, β = 90.00° and γ = 90.00°. Symmetry generates all atoms from K at (0.000, 0.000, 0.000), Mn at (0.500, 0.500, 0.341) and Co at (0.000, 0.000, 0.500).


(4)
Computed, not measured: KMnCo2 at its PBEsol-relaxed geometry at the meta-GGA SCAN level of DFT.

For the offset from the most stable computed form, the calculation gives 0.5906 eV/atom. The formation energy is 1.27 eV per atom.

It has space group Fm-3m (No. 225), with a = 6.175 Å, b = 6.175 Å, c = 6.175 Å, α = 90.00°, β = 90.00° and γ = 90.00°. Symmetry generates all atoms from K at (0.000, 0.000, 0.000), Mn at (0.000, 0.000, 0.500) and Co at (0.250, 0.250, 0.250).


(5)
Computed, not measured: KMnCo2 at its PBEsol-relaxed geometry at the meta-GGA SCAN level of DFT.

For the offset from the most stable computed form, the calculation gives 0.0000 eV/atom. The formation energy is 0.68 eV per atom.

It has space group P4/mmm (No. 123), with a = 2.853 Å, b = 2.853 Å, c = 7.656 Å, α = 90.00°, β = 90.00° and γ = 90.00°. Symmetry generates all atoms from K at (0.000, 0.000, 0.000), Mn at (0.000, 0.000, 0.500) and Co at (0.500, 0.500, 0.340).


(6)
Computed, not measured: KMn2Co at its PBEsol-relaxed geometry at the meta-GGA SCAN level of DFT.

For the offset from the most stable computed form, the calculation gives 0.3604 eV/atom. The formation energy is 0.63 eV per atom.

It has space group P4mm (No. 99), with a = 2.880 Å, b = 2.880 Å, c = 8.030 Å, α = 90.00°, β = 90.00° and γ = 90.00°. Symmetry generates all atoms from K at (0.000, 0.000, 0.000), Mn at (0.000, 0.000, 0.547), Mn at (0.500, 0.500, 0.363) and Co at (0.500, 0.500, 0.685).


(7)
Computed, not measured: K2MnCo at its PBEsol-relaxed geometry at the meta-GGA SCAN level of DFT.

For the offset from the most stable computed form, the calculation gives 0.5518 eV/atom. The formation energy is 1.12 eV per atom.

It has space group Pmmm (No. 47), with a = 3.049 Å, b = 5.425 Å, c = 5.691 Å, α = 90.00°, β = 90.00° and γ = 90.00°. Symmetry generates all atoms from K at (0.000, 0.000, 0.244), Mn at (0.500, 0.500, 0.500) and Co at (0.500, 0.500, 0.000).


(8)
Computed, not measured: KMn2Co at its PBEsol-relaxed geometry at the meta-GGA SCAN level of DFT.

For the offset from the most stable computed form, the calculation gives 0.8376 eV/atom. The formation energy is 1.11 eV per atom.

It has space group F-43m (No. 216), with a = 6.492 Å, b = 6.492 Å, c = 6.492 Å, α = 90.00°, β = 90.00° and γ = 90.00°. Symmetry generates all atoms from K at (0.000, 0.000, 0.000), Mn at (0.000, 0.000, 0.500), Mn at (0.250, 0.250, 0.250) and Co at (0.250, 0.250, 0.750).


(9)
Computed, not measured: K2MnCo at its PBEsol-relaxed geometry at the meta-GGA SCAN level of DFT.

For the offset from the most stable computed form, the calculation gives 0.5602 eV/atom. The formation energy is 1.13 eV per atom.

It has space group Cmmm (No. 65), with a = 5.673 Å, b = 10.937 Å, c = 2.989 Å, α = 90.00°, β = 90.00° and γ = 90.00°. Symmetry generates all atoms from K at (0.250, 0.250, 0.000), Mn at (0.000, 0.000, 0.500) and Co at (0.000, 0.500, 0.500).


(10)
Computed, not measured: KCo3Mo at its PBEsol-relaxed geometry at the meta-GGA SCAN level of DFT.

The formation energy is 1.42 eV per atom.

It has space group Pm-3m (No. 221), with a = 4.491 Å, b = 4.491 Å, c = 4.491 Å, α = 90.00°, β = 90.00° and γ = 90.00°. Symmetry generates all atoms from K at (0.000, 0.000, 0.000), Co at (0.000, 0.500, 0.500) and Mo at (0.500, 0.500, 0.500).


(11)
Computed, not measured: K4CoMo at its PBEsol-relaxed geometry at the meta-GGA SCAN level of DFT.

The formation energy is 1.36 eV per atom.

It has space group F-43m (No. 216), with a = 9.737 Å, b = 9.737 Å, c = 9.737 Å, α = 90.00°, β = 90.00° and γ = 90.00°. Symmetry generates all atoms from K at (0.125, 0.125, 0.125), Co at (0.000, 0.000, 0.500) and Mo at (0.250, 0.250, 0.750).


(12)
Computed, not measured: KCoMo2 at its PBEsol-relaxed geometry at the meta-GGA SCAN level of DFT.

For the offset from the most stable computed form, the calculation gives 0.7650 eV/atom. The formation energy is 1.69 eV per atom.

It has space group I4/mmm (No. 139), with a = 3.714 Å, b = 3.714 Å, c = 9.601 Å, α = 90.00°, β = 90.00° and γ = 90.00°. Symmetry generates all atoms from K at (0.000, 0.000, 0.000), Co at (0.000, 0.000, 0.500) and Mo at (0.000, 0.500, 0.250).


(13)
Computed, not measured: KCoMo2 at its PBEsol-relaxed geometry at the meta-GGA SCAN level of DFT.

For the offset from the most stable computed form, the calculation gives 0.5082 eV/atom. The formation energy is 1.44 eV per atom.

It has space group Imm2 (No. 44), with a = 2.879 Å, b = 5.369 Å, c = 9.225 Å, α = 90.00°, β = 90.00° and γ = 90.00°. Symmetry generates all atoms from K at (0.000, 0.000, 0.000), Co at (0.000, 0.500, 0.219), Mo at (0.000, 0.000, 0.511) and Mo at (0.000, 0.500, 0.797).


DFT total energy readings, ordered: -11.841, -12.489, -15.263, -14.029, -14.620, -14.903, -11.937, -14.426, -11.928, -17.602, -12.887, -22.157, -22.414 eV per atom
Magnetic moment readings, ordered: 6.775, 5.619, 9.448, 6.223, 4.657, 7.772, 5.906, 9.815, 5.835, 3.209, 7.651, 1.428, 1.316 μB per formula unit